No. 1
First-principles (GGA-PBE) data for a relaxed In2CuW crystal, as listed in the Alexandria database.

abc: 2.9042 2.9042 9.0261
angles: 90.00 90.00 89.98
Element x y z (fractional)
W (0.0000, 0.0000, 0.5332)
In (0.5000, 0.5000, 0.2855)
In (0.0000, 0.0000, 0.9561)
Cu (0.5000, 0.5000, 0.7252)

Calculated formation energy in eV/atom: 0.445
Magnetization in μB per formula unit: 0.000
Energy above the most stable polymorph in this dataset in kJ per mole of atoms: 1.2
Calculated total energy in eV/atom: -5.19


No. 2
First-principles (GGA-PBE) data for a relaxed In2CuW crystal, as listed in the Alexandria database.

abc: 5.4245 5.4245 5.4245
angles: 137.40 137.40 61.82
Element x y z (fractional)
Cu (0.7500, 0.2500, 0.5000)
W (0.5000, 0.5000, 0.0000)
In (0.2500, 0.7500, 0.5000)
In (0.0000, 0.0000, 0.0000)

Calculated formation energy in eV/atom: 0.555
Magnetization in μB per formula unit: 0.002
Energy above the most stable polymorph in this dataset in kJ per mole of atoms: 11.9
Calculated total energy in eV/atom: -5.08